1.
Below is a relaxed Ag3GeAu4 crystal, with properties calculated at the PBE level.

Unit cell a=5.8813 b=5.8897 c=8.8297 alpha=90.00 beta=109.26 gamma=90.00
Atoms (fractional coordinates):
Ag 0.0000 0.0000 0.0000
Ag 0.2490 0.0000 0.4983
Ag 0.2510 0.5000 0.5017
Ag 0.5000 0.5000 0.0000
Ag 0.7490 0.5000 0.4983
Ag 0.7510 0.0000 0.5017
Ge 0.0000 0.5000 0.0000
Ge 0.5000 0.0000 0.0000
Au 0.1261 0.2497 0.7514
Au 0.1261 0.7503 0.7514
Au 0.3739 0.2503 0.2486
Au 0.3739 0.7497 0.2486
Au 0.6261 0.2503 0.7514
Au 0.6261 0.7497 0.7514
Au 0.8739 0.2497 0.2486
Au 0.8739 0.7503 0.2486

Results
* space-group type: C2/m, No. 12
* E_tot: -52.32 eV for the cell shown
* energy above the most stable polymorph in this dataset: 0.000 eV per atom
* N(E_F): 4.474 states/eV/f.u.
* energy of formation from the pure elements: 0.353 kcal/mol of atoms
* theoretical density: 13.62 g/cm3

=====

2.
Below is a relaxed Sc4Pb2O crystal, with properties calculated at the PBE level.

Unit cell a=4.3702 b=4.3702 c=15.4806 alpha=90.00 beta=90.00 gamma=90.00
Atoms (fractional coordinates):
Sc 0.0000 0.0000 0.1589
Sc 0.0000 0.0000 0.8411
Sc 0.0000 0.5000 0.0000
Sc 0.0000 0.5000 0.5000
Sc 0.5000 0.0000 0.0000
Sc 0.5000 0.0000 0.5000
Sc 0.5000 0.5000 0.3411
Sc 0.5000 0.5000 0.6589
Pb 0.0000 0.0000 0.3542
Pb 0.0000 0.0000 0.6458
Pb 0.5000 0.5000 0.1458
Pb 0.5000 0.5000 0.8542
O 0.0000 0.0000 0.0000
O 0.5000 0.5000 0.5000

Results
* space-group type: I4/mmm, No. 139
* E_tot: -91.37 eV for the cell shown
* energy relative to the elements, uncorrected: -1140.9 meV/atom
* energy above the most stable polymorph in this dataset: 0.012 eV per atom
* N(E_F): 6.234 states/eV/f.u.
* theoretical density: 6.85 g/cm3

=====

3.
Below is a relaxed CaLaMgTaO6 crystal, with properties calculated at the PBE level.

Unit cell a=5.5750 b=5.7053 c=9.7047 alpha=90.00 beta=124.96 gamma=90.00
Atoms (fractional coordinates):
Ca 0.0000 0.2018 0.0000
Ca 0.0000 0.7982 0.5000
La 0.4751 0.2935 0.4969
La 0.4751 0.7065 0.9969
Mg 0.2366 0.2494 0.7492
Mg 0.2366 0.7506 0.2492
Ta 0.7351 0.2473 0.2473
Ta 0.7351 0.7527 0.7473
O 0.0694 0.0470 0.2947
O 0.0694 0.9530 0.7947
O 0.4016 0.4462 0.2028
O 0.4016 0.5538 0.7028
O 0.4883 0.0384 0.6995
O 0.4883 0.9616 0.1995
O 0.5877 0.2773 0.0058
O 0.5877 0.7227 0.5058
O 0.8911 0.2183 0.4922
O 0.8911 0.7817 0.9922
O 0.9848 0.4656 0.8005
O 0.9848 0.5344 0.3005

Results
* space-group type: Pc, No. 7
* E_tot: -162.72 eV for the cell shown
* energy relative to the elements, uncorrected: -3123.7 meV/atom
* N(E_F): 0.000 states/eV/f.u.
* theoretical density: 6.30 g/cm3

=====

4.
Below is a relaxed NaTbMg4 crystal, with properties calculated at the PBE level.

Unit cell a=6.0896 b=6.0896 c=6.0896 alpha=60.00 beta=60.00 gamma=60.00
Atoms (fractional coordinates):
Na 0.0000 0.0000 0.0000
Tb 0.2500 0.2500 0.2500
Mg 0.1271 0.6243 0.6243
Mg 0.6243 0.1271 0.6243
Mg 0.6243 0.6243 0.1271
Mg 0.6243 0.6243 0.6243

Results
* space-group type: F-43m, No. 216
* E_tot: -12.04 eV for the cell shown
* N(E_F): 3.743 states/eV/f.u.
* energy of formation from the pure elements: 1.114 kcal/mol of atoms
* theoretical density: 2.90 g/cm3

=====

5.
Below is a relaxed La2MgGaNi crystal, with properties calculated at the PBE level.

Unit cell a=5.4680 b=5.4680 c=4.6054 alpha=90.00 beta=90.00 gamma=90.00
Atoms (fractional coordinates):
La 0.0000 0.5000 0.0000
La 0.5000 0.0000 0.0000
Mg 0.0000 0.0000 0.5000
Ga 0.5000 0.5000 0.5000
Ni 0.5000 0.5000 0.0000

Results
* space-group type: P4/mmm, No. 123
* E_tot: -21.55 eV for the cell shown
* energy above the most stable polymorph in this dataset: 0.000 eV per atom
* N(E_F): 4.934 states/eV/f.u.
* energy of formation from the pure elements: -5.953 kcal/mol of atoms
* theoretical density: 5.19 g/cm3

=====

6.
Below is a relaxed PmMnPd2 crystal, with properties calculated at the PBE level.

Unit cell a=3.3781 b=3.3781 c=6.6906 alpha=90.00 beta=90.00 gamma=90.00
Atoms (fractional coordinates):
Pm 0.0000 0.0000 0.0000
Mn 0.0000 0.0000 0.5000
Pd 0.5000 0.5000 0.2871
Pd 0.5000 0.5000 0.7129

Results
* space-group type: P4/mmm, No. 123
* E_tot: -25.99 eV for the cell shown
* N(E_F): 1.407 states/eV/f.u.
* energy of formation from the pure elements: -9.738 kcal/mol of atoms
* theoretical density: 8.98 g/cm3

=====

| no. | total moment (μB per cell) | calculated volume (Å³ per atom) |
| --- | --- | --- |
| 1 | 0.00 | 18.0 |
| 2 | 2.59 | 21.1 |
| 3 | 0.00 | 12.6 |
| 4 | 0.00 | 26.6 |
| 5 | 0.00 | 27.5 |
| 6 | 4.59 | 19.1 |